{"formula": "AcSi4Pd4", "functional": "PBE", "state": "relaxed", "dos_ef_per_ev_cell": 9.86, "sg": "P4_2/nmc", "e_form_raw_ev_per_fu": -6.09, "e_tot_ha_per_atom": -0.215, "rho_g_cm3": 8.061, "lattice": [[-3.995, 2.069, -4.111], [-4.028, -4.206, 1.797], [-3.101, 5.422, 5.742]], "species": ["Ac", "Ac", "Si", "Si", "Si", "Si", "Si", "Si", "Si", "Si", "Pd", "Pd", "Pd", "Pd", "Pd", "Pd", "Pd", "Pd"], "frac_coords": [[0.000, 0.000, 0.000], [0.500, 0.500, 0.500], [0.500, 0.804, 0.836], [0.500, 0.196, 0.836], [0.804, 0.500, 0.164], [0.196, 0.500, 0.164], [0.304, 0.000, 0.336], [0.696, 0.000, 0.336], [0.000, 0.304, 0.664], [0.000, 0.696, 0.664], [0.234, 0.500, 0.871], [0.766, 0.500, 0.871], [0.500, 0.766, 0.129], [0.500, 0.234, 0.129], [0.000, 0.734, 0.371], [0.000, 0.266, 0.371], [0.266, 0.000, 0.629], [0.734, 0.000, 0.629]]}

{"formula": "Ac2SiPd", "functional": "PBE", "state": "relaxed", "dos_ef_per_ev_cell": 1.62, "sg": "Fm-3m", "e_form_raw_ev_per_fu": -2.23, "e_above_lowest_polymorph_mev_per_atom": 105, "e_tot_ha_per_atom": -0.194, "rho_g_cm3": 8.640, "lattice": [[-0.492, 0.775, 5.350], [-0.318, -4.266, 3.342], [4.144, -1.174, 3.305]], "species": ["Ac", "Ac", "Si", "Pd"], "frac_coords": [[0.250, 0.250, 0.250], [0.750, 0.750, 0.750], [0.500, 0.500, 0.500], [0.000, 0.000, 0.000]]}

{"formula": "Ac2Si3Pd5", "functional": "PBE", "state": "relaxed", "dos_ef_per_ev_cell": 13.96, "sg": "Ibam", "e_form_raw_ev_per_fu": -8.34, "e_tot_ha_per_atom": -0.216, "rho_g_cm3": 8.902, "lattice": [[-5.077, 1.127, 3.606], [-0.094, -5.104, 7.014], [2.103, 4.513, 7.104]], "species": ["Ac", "Ac", "Ac", "Ac", "Si", "Si", "Si", "Si", "Si", "Si", "Pd", "Pd", "Pd", "Pd", "Pd", "Pd", "Pd", "Pd", "Pd", "Pd"], "frac_coords": [[0.132, 0.625, 0.112], [0.632, 0.112, 0.625], [0.868, 0.375, 0.888], [0.368, 0.888, 0.375], [0.385, 0.490, 0.741], [0.885, 0.741, 0.490], [0.615, 0.510, 0.259], [0.115, 0.259, 0.510], [0.250, 0.000, 0.000], [0.750, 0.000, 0.000], [0.386, 0.236, 0.991], [0.886, 0.991, 0.236], [0.614, 0.764, 0.009], [0.114, 0.009, 0.764], [0.524, 0.726, 0.726], [0.476, 0.274, 0.274], [0.750, 0.500, 0.500], [0.250, 0.500, 0.500], [0.976, 0.274, 0.274], [0.024, 0.726, 0.726]]}